Density functional theory data (PBE) for a relaxed GaSiBi2 crystal.

Cell: 6.5189 6.5189 7.9792 Å, 65.89 65.89 90.00°
Last column: nearest neighbours and their distance in Å.
Fractional positions:
Si (0.2500, 0.7500, 0.5000)  4 Bi 2.79
Si (0.5000, 0.5000, 0.0000)  4 Bi 2.79
Bi (0.3750, 0.3843, 0.7500)  2 Si 2.79, 2 Ga 2.86
Bi (0.6157, 0.1250, 0.2500)  2 Si 2.79, 2 Ga 2.86
Bi (0.8750, 0.8657, 0.7500)  2 Si 2.79, 2 Ga 2.86
Bi (0.1343, 0.6250, 0.2500)  2 Si 2.79, 2 Ga 2.86
Ga (0.7500, 0.2500, 0.5000)  4 Bi 2.86
Ga (0.0000, 0.0000, 0.0000)  4 Bi 2.86

Calculated values
* space-group type: No. 122
* ΔE_f (raw): 0.305 eV per atom
* uncorrected energy: -29.986 eV per cell
* DOS(E_F): 4.10 states/eV per cell

---

Density functional theory data (PBE) for a relaxed Ga2SiBi crystal.

Cell: 6.0741 6.0741 7.3099 Å, 65.45 65.45 90.00°
Last column: nearest neighbours and their distance in Å.
Fractional positions:
Ga (0.8750, 0.8229, 0.7500)  2 Si 2.44
Ga (0.5729, 0.1250, 0.2500)  2 Si 2.44
Ga (0.3750, 0.4271, 0.7500)  2 Si 2.44
Ga (0.1771, 0.6250, 0.2500)  2 Si 2.44
Bi (0.7500, 0.2500, 0.5000)  4 Ga 2.80
Bi (0.0000, 0.0000, 0.0000)  4 Ga 2.80
Si (0.2500, 0.7500, 0.5000)  4 Ga 2.44
Si (0.5000, 0.5000, 0.0000)  4 Ga 2.44

Calculated values
* distance to the lowest polymorph of the same formula: 0 meV per atom
* space-group type: No. 122
* ΔE_f (raw): 0.131 eV per atom
* uncorrected energy: -29.669 eV per cell
* DOS(E_F): 4.96 states/eV per cell

---

Density functional theory data (PBE) for a relaxed GaSi2Bi2 crystal.

Cell: 3.4426 3.4426 10.4232 Å, 80.49 80.49 90.00°
Last column: nearest neighbours and their distance in Å.
Fractional positions:
Si (0.2500, 0.7500, 0.5000)  4 Si 2.43
Si (0.7500, 0.2500, 0.5000)  4 Si 2.43
Ga (0.0000, 0.0000, 0.0000)  8 Bi 3.33, 4 Ga 3.44
Bi (0.6122, 0.6122, 0.7755)  4 Si 3.28, 4 Ga 3.33, 4 Bi 3.44
Bi (0.3878, 0.3878, 0.2245)  4 Si 3.28, 4 Ga 3.33, 4 Bi 3.44

Calculated values
* space-group type: No. 139
* ΔE_f (raw): 0.272 eV per atom
* uncorrected energy: -20.274 eV per cell
* DOS(E_F): 2.29 states/eV per cell

---

Density functional theory data (PBE) for a relaxed Ga12Si3Bi5 crystal.

Cell: 13.9826 13.9826 13.9826 Å, 109.47 109.47 109.47°
Last column: nearest neighbours and their distance in Å.
Fractional positions:
Bi (0.2500, 0.3750, 0.6250)  4 Ga 2.81
Bi (0.3750, 0.1250, 0.7500)  4 Ga 2.81
Bi (0.7500, 0.1250, 0.8750)  4 Ga 2.81
Bi (0.6250, 0.8750, 0.2500)  4 Ga 2.81
Bi (0.1250, 0.7500, 0.3750)  4 Ga 2.81
Bi (0.1250, 0.3750, 0.2500)  4 Ga 2.81
Bi (0.5000, 0.5000, 0.0000)  6 Ga 2.91
Bi (0.8750, 0.6250, 0.7500)  4 Ga 2.81
Bi (0.7500, 0.6250, 0.3750)  4 Ga 2.81
Bi (0.8750, 0.2500, 0.6250)  4 Ga 2.81
Bi (0.0000, 0.0000, 0.5000)  6 Ga 2.91
Bi (0.0000, 0.5000, 0.0000)  6 Ga 2.91
Bi (0.2500, 0.8750, 0.1250)  4 Ga 2.81
Bi (0.6250, 0.7500, 0.8750)  4 Ga 2.81
Bi (0.0000, 0.5000, 0.5000)  6 Ga 2.91
Bi (0.3750, 0.2500, 0.1250)  4 Ga 2.81
Bi (0.5000, 0.0000, 0.0000)  6 Ga 2.91
Bi (0.0000, 0.0000, 0.0000)  6 Ga 2.91
Bi (0.5000, 0.5000, 0.5000)  6 Ga 2.91
Bi (0.5000, 0.0000, 0.5000)  6 Ga 2.91
Ga (0.9198, 0.3564, 0.2533)  1 Si 2.61, 1 Ga 2.66, 2 Bi 2.81-2.91
Ga (0.3336, 0.7533, 0.3969)  1 Si 2.61, 1 Ga 2.66, 2 Bi 2.81-2.91
Ga (0.8564, 0.2533, 0.4198)  1 Si 2.61, 1 Ga 2.66, 2 Bi 2.81-2.91
Ga (0.5633, 0.6436, 0.3969)  1 Si 2.61, 1 Ga 2.66, 2 Bi 2.81-2.91
Ga (0.2467, 0.5802, 0.6436)  1 Si 2.61, 1 Ga 2.66, 2 Bi 2.81-2.91
Ga (0.0802, 0.6436, 0.7467)  1 Si 2.61, 1 Ga 2.66, 2 Bi 2.81-2.91
Ga (0.6031, 0.8564, 0.4367)  1 Si 2.61, 1 Ga 2.66, 2 Bi 2.81-2.91
Ga (0.4198, 0.6664, 0.0633)  1 Si 2.61, 1 Ga 2.66, 2 Bi 2.81-2.91
Ga (0.0802, 0.4367, 0.8336)  1 Si 2.61, 1 Ga 2.66, 2 Bi 2.81-2.91
Ga (0.9367, 0.1031, 0.8564)  1 Si 2.61, 1 Ga 2.66, 2 Bi 2.81-2.91
Ga (0.8969, 0.0633, 0.6436)  1 Si 2.61, 1 Ga 2.66, 2 Bi 2.81-2.91
Ga (0.3969, 0.1436, 0.5633)  1 Si 2.61, 1 Ga 2.66, 2 Bi 2.81-2.91
Ga (0.1664, 0.0633, 0.9198)  1 Si 2.61, 1 Ga 2.66, 2 Bi 2.81-2.91
Ga (0.1436, 0.7467, 0.5802)  1 Si 2.61, 1 Ga 2.66, 2 Bi 2.81-2.91
Ga (0.7467, 0.6031, 0.1664)  1 Si 2.61, 1 Ga 2.66, 2 Bi 2.81-2.91
Ga (0.1031, 0.9367, 0.3564)  1 Si 2.61, 1 Ga 2.66, 2 Bi 2.81-2.91
Ga (0.7533, 0.3336, 0.8969)  1 Si 2.61, 1 Ga 2.66, 2 Bi 2.81-2.91
Ga (0.9198, 0.5633, 0.1664)  1 Si 2.61, 1 Ga 2.66, 2 Bi 2.81-2.91
Ga (0.2533, 0.8564, 0.9198)  1 Si 2.61, 1 Ga 2.66, 2 Bi 2.81-2.91
Ga (0.1436, 0.3969, 0.0633)  1 Si 2.61, 1 Ga 2.66, 2 Bi 2.81-2.91
Ga (0.6664, 0.4198, 0.5633)  1 Si 2.61, 1 Ga 2.66, 2 Bi 2.81-2.91
Ga (0.9367, 0.8336, 0.5802)  1 Si 2.61, 1 Ga 2.66, 2 Bi 2.81-2.91
Ga (0.1031, 0.1664, 0.2467)  1 Si 2.61, 1 Ga 2.66, 2 Bi 2.81-2.91
Ga (0.5802, 0.3336, 0.9367)  1 Si 2.61, 1 Ga 2.66, 2 Bi 2.81-2.91
Ga (0.6436, 0.5633, 0.8969)  1 Si 2.61, 1 Ga 2.66, 2 Bi 2.81-2.91
Ga (0.7467, 0.1436, 0.0802)  1 Si 2.61, 1 Ga 2.66, 2 Bi 2.81-2.91
Ga (0.2467, 0.6664, 0.1031)  1 Si 2.61, 1 Ga 2.66, 2 Bi 2.81-2.91
Ga (0.3969, 0.2533, 0.3336)  1 Si 2.61, 1 Ga 2.66, 2 Bi 2.81-2.91
Ga (0.6664, 0.2467, 0.6031)  1 Si 2.61, 1 Ga 2.66, 2 Bi 2.81-2.91
Ga (0.8336, 0.9367, 0.0802)  1 Si 2.61, 1 Ga 2.66, 2 Bi 2.81-2.91
Ga (0.3564, 0.9198, 0.7533)  1 Si 2.61, 1 Ga 2.66, 2 Bi 2.81-2.91
Ga (0.4198, 0.7533, 0.8564)  1 Si 2.61, 1 Ga 2.66, 2 Bi 2.81-2.91
Ga (0.6436, 0.0802, 0.2467)  1 Si 2.61, 1 Ga 2.66, 2 Bi 2.81-2.91
Ga (0.5802, 0.2467, 0.1436)  1 Si 2.61, 1 Ga 2.66, 2 Bi 2.81-2.91
Ga (0.5633, 0.9198, 0.6664)  1 Si 2.61, 1 Ga 2.66, 2 Bi 2.81-2.91
Ga (0.3336, 0.5802, 0.4367)  1 Si 2.61, 1 Ga 2.66, 2 Bi 2.81-2.91
Ga (0.4367, 0.0802, 0.3336)  1 Si 2.61, 1 Ga 2.66, 2 Bi 2.81-2.91
Ga (0.6031, 0.7467, 0.6664)  1 Si 2.61, 1 Ga 2.66, 2 Bi 2.81-2.91
Ga (0.1664, 0.1031, 0.7467)  1 Si 2.61, 1 Ga 2.66, 2 Bi 2.81-2.91
Ga (0.0633, 0.8969, 0.1436)  1 Si 2.61, 1 Ga 2.66, 2 Bi 2.81-2.91
Ga (0.2533, 0.3969, 0.8336)  1 Si 2.61, 1 Ga 2.66, 2 Bi 2.81-2.91
Ga (0.7533, 0.4198, 0.3564)  1 Si 2.61, 1 Ga 2.66, 2 Bi 2.81-2.91
Ga (0.8564, 0.6031, 0.9367)  1 Si 2.61, 1 Ga 2.66, 2 Bi 2.81-2.91
Ga (0.4367, 0.3564, 0.6031)  1 Si 2.61, 1 Ga 2.66, 2 Bi 2.81-2.91
Ga (0.0633, 0.1664, 0.4198)  1 Si 2.61, 1 Ga 2.66, 2 Bi 2.81-2.91
Ga (0.8336, 0.8969, 0.2533)  1 Si 2.61, 1 Ga 2.66, 2 Bi 2.81-2.91
Ga (0.8969, 0.8336, 0.7533)  1 Si 2.61, 1 Ga 2.66, 2 Bi 2.81-2.91
Ga (0.3564, 0.4367, 0.1031)  1 Si 2.61, 1 Ga 2.66, 2 Bi 2.81-2.91
Si (0.3750, 0.6250, 0.2500)  4 Ga 2.61
Si (0.6250, 0.3750, 0.7500)  4 Ga 2.61
Si (0.8750, 0.7500, 0.1250)  4 Ga 2.61
Si (0.6250, 0.2500, 0.3750)  4 Ga 2.61
Si (0.1250, 0.2500, 0.8750)  4 Ga 2.61
Si (0.2500, 0.1250, 0.3750)  4 Ga 2.61
Si (0.1250, 0.8750, 0.7500)  4 Ga 2.61
Si (0.8750, 0.1250, 0.2500)  4 Ga 2.61
Si (0.7500, 0.3750, 0.1250)  4 Ga 2.61
Si (0.2500, 0.6250, 0.8750)  4 Ga 2.61
Si (0.3750, 0.7500, 0.6250)  4 Ga 2.61
Si (0.7500, 0.8750, 0.6250)  4 Ga 2.61

Calculated values
* space-group type: No. 230
* ΔE_f (raw): 0.232 eV per atom
* uncorrected energy: -269.392 eV per cell
* DOS(E_F): 43.88 states/eV per cell

---

Density functional theory data (PBE) for a relaxed GaSiBi3 crystal.

Cell: 5.4685 5.4685 5.4685 Å, 90.00 90.00 90.00°
Last column: nearest neighbours and their distance in Å.
Fractional positions:
Bi (0.0000, 0.0000, 0.5000)  2 Si 2.73
Bi (0.0000, 0.5000, 0.0000)  2 Si 2.73
Bi (0.5000, 0.0000, 0.0000)  2 Si 2.73
Si (0.0000, 0.0000, 0.0000)  6 Bi 2.73
Ga (0.5000, 0.5000, 0.5000)  12 Bi 3.87

Calculated values
* distance to the lowest polymorph of the same formula: 0 meV per atom
* space-group type: No. 221
* ΔE_f (raw): 0.581 eV per atom
* uncorrected energy: -17.189 eV per cell
* DOS(E_F): 2.64 states/eV per cell

---

Density functional theory data (PBE) for a relaxed GaSiTcBi2 crystal.

Cell: 5.3057 4.8101 5.3057 Å, 90.00 90.00 90.00°
Last column: nearest neighbours and their distance in Å.
Fractional positions:
Si (0.5000, 0.5000, 0.5000)  8 Bi 3.58, 4 Ga 3.75
Bi (0.0000, 0.0000, 0.5000)  2 Tc 2.65
Bi (0.5000, 0.0000, 0.0000)  2 Tc 2.65
Ga (0.0000, 0.5000, 0.0000)  2 Tc 2.41
Tc (0.0000, 0.0000, 0.0000)  2 Ga 2.41, 4 Bi 2.65

Calculated values
* space-group type: No. 123
* ΔE_f (raw): 0.704 eV per atom
* uncorrected energy: -23.057 eV per cell
* DOS(E_F): 5.12 states/eV per cell

---

Density functional theory data (PBE) for a relaxed Sm5GaBi4 crystal.

Cell: 6.3715 7.8025 7.8025 Å, 80.40 65.90 65.90°
Last column: nearest neighbours and their distance in Å.
Fractional positions:
Sm (0.2947, 0.8069, 0.6055)  1 Ga 3.13, 5 Bi 3.19-3.21
Sm (0.1016, 0.6055, 0.1931)  1 Ga 3.13, 5 Bi 3.19-3.21
Sm (0.5015, 0.0000, 0.0000)  2 Ga 3.19, 4 Bi 3.19
Sm (0.7071, 0.1931, 0.3945)  1 Ga 3.13, 5 Bi 3.19-3.21
Sm (0.9002, 0.3945, 0.8069)  1 Ga 3.13, 5 Bi 3.19-3.21
Bi (0.1993, 0.2058, 0.3973)  6 Sm 3.19-3.21
Bi (0.8025, 0.7942, 0.6027)  6 Sm 3.19-3.21
Bi (0.5966, 0.6027, 0.2058)  6 Sm 3.19-3.21
Bi (0.4051, 0.3973, 0.7942)  6 Sm 3.19-3.21
Ga (0.0016, 0.0000, 0.0000)  6 Sm 3.13-3.19

Calculated values
* space-group type: No. 87
* uncorrected energy: -49.820 eV per cell
* DOS(E_F): 6.03 states/eV per cell
* energy of formation from the pure elements: -74.04 kJ per mole of atoms

---

Density functional theory data (PBE) for a relaxed Sm6Ga2Bi crystal.

Cell: 8.8772 8.8772 8.8772 Å, 104.06 111.08 113.41°
Last column: nearest neighbours and their distance in Å.
Fractional positions:
Sm (0.2967, 0.6186, 0.3219)  3 Ga 2.98-3.08
Sm (0.2078, 0.7673, 0.9751)  2 Ga 3.01-3.36, 1 Bi 3.29
Sm (0.2078, 0.2327, 0.4406)  2 Ga 3.01-3.36, 1 Bi 3.29
Sm (0.7922, 0.7673, 0.5594)  2 Ga 3.01-3.36, 1 Bi 3.29
Sm (0.9044, 0.7175, 0.1869)  3 Ga 3.11-3.30, 1 Bi 3.33
Sm (0.7033, 0.0253, 0.3219)  3 Ga 2.98-3.08
Sm (0.7922, 0.2327, 0.0249)  2 Ga 3.01-3.36, 1 Bi 3.29
Sm (0.0956, 0.2825, 0.8131)  3 Ga 3.11-3.30, 1 Bi 3.33
Sm (0.2967, 0.9747, 0.6781)  3 Ga 2.98-3.08
Sm (0.5307, 0.7175, 0.8131)  3 Ga 3.11-3.30, 1 Bi 3.33
Sm (0.4693, 0.2825, 0.1869)  3 Ga 3.11-3.30, 1 Bi 3.33
Sm (0.7033, 0.3814, 0.6781)  3 Ga 2.98-3.08
Bi (0.0000, 0.5000, 0.5000)  12 Sm 3.48-3.79
Bi (0.0000, 0.0000, 0.0000)  8 Sm 3.29-3.33
Ga (0.3677, 0.0000, 0.3677)  1 Ga 2.66
Ga (0.5000, 0.3818, 0.8818)  1 Ga 2.58
Ga (0.5000, 0.6182, 0.1182)  1 Ga 2.58
Ga (0.6323, 0.0000, 0.6323)  1 Ga 2.66

Calculated values
* space-group type: No. 71
* uncorrected energy: -84.651 eV per cell
* DOS(E_F): 18.61 states/eV per cell
* energy of formation from the pure elements: -43.70 kJ per mole of atoms